Here is an optimized crystal structure of Rb2NbW3O12 from Alexandria via LeMat-Bulk. Energies are from GGA+U.

Values from the calculation:
E_tot = -7.345 eV/atom
Space-group type = R-3m (166)

a b c (Å): 7.4373 7.4373 7.4373
angles (deg): 59.89 59.89 59.89
Last column: magnetic moment on the atom in μB.
Sites, in units of the cell vectors:
W: 0.5000 0.0000 0.0000  0.38
W: 0.0000 0.0000 0.5000  0.38
W: 0.0000 0.5000 0.0000  0.38
O: 0.0624 0.0624 0.6828  -0.01
O: 0.0639 0.6888 0.6888  -0.02
O: 0.6888 0.0639 0.6888  -0.02
O: 0.9376 0.9376 0.3172  -0.01
O: 0.3172 0.9376 0.9376  -0.01
O: 0.3112 0.3112 0.9361  -0.02
O: 0.9361 0.3112 0.3112  -0.02
O: 0.6888 0.6888 0.0639  -0.02
O: 0.0624 0.6828 0.0624  -0.01
O: 0.3112 0.9361 0.3112  -0.02
O: 0.9376 0.3172 0.9376  -0.01
O: 0.6828 0.0624 0.0624  -0.01
Rb: 0.3770 0.3770 0.3770  0.00
Rb: 0.6230 0.6230 0.6230  0.00
Nb: 0.0000 0.0000 0.0000  0.01

***

Here is an optimized crystal structure of Rb2NbWO6 from Alexandria via LeMat-Bulk. Energies are from GGA+U.

Values from the calculation:
E_tot = -7.032 eV/atom
Space-group type = Fm-3m (225)

a b c (Å): 5.7559 5.7561 5.7550
angles (deg): 60.00 60.00 89.99
Last column: magnetic moment on the atom in μB.
Sites, in units of the cell vectors:
O: 0.7459 0.7459 0.0000  -0.03
O: 0.2542 0.7457 0.0000  -0.03
O: 0.2541 0.2541 0.0000  -0.03
O: 0.2544 0.2544 0.4913  -0.03
O: 0.7458 0.2543 0.0000  -0.03
O: 0.7456 0.7456 0.5087  -0.03
Nb: 0.0000 0.0000 0.0000  0.29
Rb: 0.7500 0.2499 0.5001  0.00
Rb: 0.2500 0.7501 0.4999  0.00
W: 0.5000 0.5000 0.0000  0.48

***

Here is an optimized crystal structure of RbNbWO6 from Alexandria via LeMat-Bulk. Energies are from GGA+U.

Values from the calculation:
E_tot = -7.631 eV/atom
Space-group type = Imma (74)

a b c (Å): 7.4536 7.4536 7.4536
angles (deg): 120.32 119.85 89.86
Sites, in units of the cell vectors:
O: 0.6945 0.8180 0.2577
O: 0.9398 0.5633 0.7577
O: 0.3140 0.5640 0.7500
O: 0.6945 0.4367 0.8765
O: 0.0602 0.4367 0.2423
O: 0.3055 0.1820 0.7423
O: 0.0602 0.8180 0.6235
O: 0.9409 0.1909 0.7500
O: 0.6860 0.4360 0.2500
O: 0.3055 0.5633 0.1235
O: 0.0591 0.8091 0.2500
O: 0.9398 0.1820 0.3765
Nb: 0.0000 0.5000 0.5000
Nb: 0.5000 0.5000 0.0000
Rb: 0.6171 0.8671 0.7500
Rb: 0.3829 0.1329 0.2500
W: 0.0000 0.5000 0.0000
W: 0.0000 0.0000 0.5000

***

Here is an optimized crystal structure of RbNbWO2 from Alexandria via LeMat-Bulk. Energies are from GGA+U.

Values from the calculation:
E_tot = -5.016 eV/atom
Space-group type = P4/mmm (123)

a b c (Å): 3.9884 7.5556 3.9884
angles (deg): 90.00 90.00 90.00
Last column: magnetic moment on the atom in μB.
Sites, in units of the cell vectors:
Nb: 0.5000 0.5000 0.5000  3.12
W: 0.0000 0.0000 0.0000  0.46
Rb: 0.0000 0.5000 0.0000  0.20
O: 0.0000 0.0000 0.5000  -0.03
O: 0.5000 0.0000 0.0000  -0.05